# 1
The following is a DFT calculation (GGA-PBE) of a relaxed structure of V2RuRh5W.

Values from the calculation:
formation energy from the elements = 237 meV per atom
calculated density = 11.184 g/cm3

a b c (Å): 7.007 7.007 7.367
angles (deg): 118.40 118.40 90.00
Atoms (fractional coordinates):
V 0.106 0.394 0.000
V 0.606 0.106 0.000
V 0.394 0.894 0.000
V 0.894 0.606 0.000
Ru 0.250 0.750 0.500
Ru 0.750 0.250 0.500
Rh 0.921 0.421 0.263
Rh 0.658 0.158 0.737
Rh 0.079 0.579 0.737
Rh 0.158 0.079 0.737
Rh 0.579 0.658 0.737
Rh 0.842 0.921 0.263
Rh 0.421 0.342 0.263
Rh 0.342 0.842 0.263
Rh 0.500 0.500 0.000
Rh 0.000 0.000 0.000
W 0.250 0.250 0.500
W 0.750 0.750 0.500


# 2
The following is a DFT calculation (GGA-PBE) of a relaxed structure of VRuRhW.

Values from the calculation:
formation energy from the elements = 266 meV per atom
calculated density = 11.280 g/cm3

a b c (Å): 4.095 4.095 5.037
angles (deg): 66.02 66.02 60.00
Atoms (fractional coordinates):
V 0.269 0.269 0.192
Ru 0.871 0.871 0.387
Rh 0.670 0.670 0.989
W 0.463 0.463 0.610


# 3
The following is a DFT calculation (GGA-PBE) of a relaxed structure of YVRu2Rh.

Values from the calculation:
formation energy from the elements = 854 meV per atom
calculated density = 7.649 g/cm3

a b c (Å): 4.381 5.032 4.381
angles (deg): 90.00 90.00 90.00
Atoms (fractional coordinates):
Y 0.000 0.500 0.000
Ru 0.000 0.000 0.500
Ru 0.500 0.000 0.000
Rh 0.500 0.500 0.500
V 0.000 0.000 0.000


# 4
The following is a DFT calculation (GGA-PBE) of a relaxed structure of ZrV2RuRh.

Values from the calculation:
formation energy from the elements = 829 meV per atom
calculated density = 6.720 g/cm3

a b c (Å): 4.419 5.024 4.419
angles (deg): 90.00 90.00 90.00
Atoms (fractional coordinates):
Ru 0.000 0.000 0.000
Rh 0.500 0.500 0.500
Zr 0.000 0.500 0.000
V 0.000 0.000 0.500
V 0.500 0.000 0.000


Q: What is the calculated density in the second record?
A: 11.280 g/cm3


Repeat the third record exactly.
The following is a DFT calculation (GGA-PBE) of a relaxed structure of YVRu2Rh.

Values from the calculation:
formation energy from the elements = 854 meV per atom
calculated density = 7.649 g/cm3

a b c (Å): 4.381 5.032 4.381
angles (deg): 90.00 90.00 90.00
Atoms (fractional coordinates):
Y 0.000 0.500 0.000
Ru 0.000 0.000 0.500
Ru 0.500 0.000 0.000
Rh 0.500 0.500 0.500
V 0.000 0.000 0.000


Q: calculated density of number 1 (V2RuRh5W)?
A: 11.184 g/cm3


Q: What is the formula in the fourth record?
A: ZrV2RuRh